No. 1
The following is a DFT calculation (PBE) of a relaxed structure of Tb2ZnI.

## Properties
Its density of states at the Fermi level is 0.80 states/eV/atom. The calculation puts the formation energy from raw total energies at -0.5123 eV per atom. The total energy comes out at -42.40 eV per cell. For the distance to the lowest polymorph of the same formula, the calculation gives 0 meV per atom.

a b c (Å): 3.9460 3.9460 24.8078
angles (deg): 90.00 90.00 120.00
Space group R3m (No. 160, hexagonal axes)
Inequivalent atoms, fractional coordinates:
Tb1 0.0000 0.0000 0.0000 [3 per cell]
Tb2 0.0000 0.0000 0.1863 [3 per cell]
Zn1 0.0000 0.0000 0.5939 [3 per cell]
I1 0.0000 0.0000 0.4261 [3 per cell]



No. 2
The following is a DFT calculation (PBE) of a relaxed structure of Tb2ZnI.

## Properties
Its density of states at the Fermi level is 0.92 states/eV/atom. The calculation puts the formation energy from raw total energies at -0.4332 eV per atom. The total energy comes out at -13.82 eV per cell. For the distance to the lowest polymorph of the same formula, the calculation gives 79 meV per atom.

a b c (Å): 3.622 3.622 8.148
angles (deg): 90.00 90.00 90.00
Space group P4/mmm (No. 123)
Inequivalent atoms, fractional coordinates:
Tb1 0.000 0.000 0.214 [2 per cell]
Zn1 0.500 0.500 0.000 [1 per cell]
I1 0.500 0.500 0.500 [1 per cell]